# ReP2Ru

A PBEsol-optimized structure of ReP2Ru (meta-GGA SCAN, Alexandria via LeMat-Bulk).

Distance to the lowest polymorph of the same formula = 305.0 meV per atom
E_form = 79 meV per atom

```
data_ReP2Ru
_cell_length_a 2.9085
_cell_length_b 3.9675
_cell_length_c 9.1736
_cell_angle_alpha 90.00
_cell_angle_beta 90.00
_cell_angle_gamma 90.00
_symmetry_space_group_name_H-M 'I m m 2'
_symmetry_Int_Tables_number 44
loop_
_symmetry_equiv_pos_as_xyz
'x,y,z'
'-x,-y,z'
'-x,y,z'
'x,-y,z'
'x+1/2,y+1/2,z+1/2'
'-x+1/2,-y+1/2,z+1/2'
'-x+1/2,y+1/2,z+1/2'
'x+1/2,-y+1/2,z+1/2'
loop_
_atom_site_label
_atom_site_type_symbol
_atom_site_fract_x
_atom_site_fract_y
_atom_site_fract_z
Re1 Re 0.0000 0.0000 0.0000
P1 P 0.0000 0.0000 0.4990
P2 P 0.0000 0.5000 0.2788
Ru1 Ru 0.0000 0.5000 0.7790
```